(1)
LaPm2Bi2: optimized geometry, GGA-PBE.

Calculated formation energy = -0.57 eV per atom
DOS at the Fermi energy = 19.663 states/eV per cell

abc: 6.5677 6.5914 15.5342
angles: 90.00 90.00 90.00
Space group Fmmm (No. 69)
Unique sites:
La 0.0000 0.0000 0.0000 (multiplicity 4)
Pm 0.2500 0.2500 0.2500 (multiplicity 8)
Bi 0.0000 0.0000 0.3978 (multiplicity 8)


(2)
Cs2RbTl3I6: optimized geometry, GGA-PBE.

DOS at the Fermi energy = 0.000 states/eV per cell

abc: 22.8415 5.2438 10.4821
angles: 90.00 103.14 90.00
Space group C2/m (No. 12)
Unique sites:
Cs 0.1657 0.0000 0.3310 (multiplicity 4)
Rb 0.0000 0.5000 0.0000 (multiplicity 2)
Tl 0.0000 0.5000 0.5000 (multiplicity 2)
Tl 0.1661 0.0000 0.8336 (multiplicity 4)
I 0.0069 0.0000 0.7469 (multiplicity 4)
I 0.1611 0.5000 0.5970 (multiplicity 4)
I 0.1680 0.5000 0.0648 (multiplicity 4)


(3)
Pa2CoSnN5: optimized geometry, GGA-PBE.

DOS at the Fermi energy = 17.829 states/eV per cell

abc: 3.3251 13.1915 10.1116
angles: 90.00 90.00 90.00
Space group Cmc2_1 (No. 36)
Unique sites:
Pa 0.0000 0.0944 0.0000 (multiplicity 4)
Pa 0.0000 0.1445 0.6284 (multiplicity 4)
Co 0.0000 0.4804 0.7713 (multiplicity 4)
Sn 0.0000 0.2025 0.3317 (multiplicity 4)
N 0.0000 0.0467 0.3774 (multiplicity 4)
N 0.0000 0.2757 0.9945 (multiplicity 4)
N 0.0000 0.3301 0.6955 (multiplicity 4)
N 0.0000 0.3697 0.3199 (multiplicity 4)
N 0.0000 0.4813 0.0907 (multiplicity 4)


(4)
LaSm12Tm7: optimized geometry, GGA-PBE.

Calculated formation energy = 0.16 eV per atom
Distance to the lowest polymorph of the same formula = 0.00 eV per formula unit
DOS at the Fermi energy = 107.149 states/eV per cell

abc: 15.1153 15.1153 10.1003
angles: 90.00 90.00 120.00
Space group R-3 (No. 148, hexagonal axes)
Unique sites:
La 0.0000 0.0000 0.0000 (multiplicity 3)
Sm 0.0465 0.2031 0.2508 (multiplicity 18)
Sm 0.0494 0.2464 0.5782 (multiplicity 18)
Tm 0.0000 0.0000 0.5000 (multiplicity 3)
Tm 0.0651 0.2465 0.9238 (multiplicity 18)


(5)
Ca2CrCu: optimized geometry, GGA-PBE.

Calculated formation energy = 0.34 eV per atom
Distance to the lowest polymorph of the same formula = 0.33 eV per formula unit
DOS at the Fermi energy = 3.759 states/eV per cell

abc: 3.6600 3.6600 7.4514
angles: 90.00 90.00 90.00
Space group P4/mmm (No. 123)
Unique sites:
Ca 0.0000 0.0000 0.2329 (multiplicity 2)
Cr 0.5000 0.5000 0.5000 (multiplicity 1)
Cu 0.5000 0.5000 0.0000 (multiplicity 1)


(6)
Ce3Tl4NiSe8: optimized geometry, GGA-PBE.

DOS at the Fermi energy = 32.781 states/eV per cell

abc: 14.5377 8.3637 9.1306
angles: 90.00 122.09 90.00
Space group C2/m (No. 12)
Unique sites:
Ce 0.0000 0.0000 0.0000 (multiplicity 2)
Ce 0.2500 0.2500 0.0000 (multiplicity 4)
Tl 0.0000 0.0000 0.5000 (multiplicity 2)
Tl 0.0000 0.5000 0.5000 (multiplicity 2)
Tl 0.2500 0.2500 0.5000 (multiplicity 4)
Ni 0.0000 0.5000 0.0000 (multiplicity 2)
Se 0.0131 0.2658 0.8047 (multiplicity 8)
Se 0.2259 0.5000 0.1993 (multiplicity 4)
Se 0.2374 0.0000 0.2125 (multiplicity 4)


(7)
Tb2DyHo2Mg5: optimized geometry, GGA-PBE.

Calculated formation energy = 0.07 eV per atom
DOS at the Fermi energy = 15.060 states/eV per cell

abc: 10.5542 10.5542 5.0628
angles: 90.00 90.00 90.00
Space group P4/mbm (No. 127)
Unique sites:
Tb 0.1779 0.3221 0.0000 (multiplicity 4)
Dy 0.0000 0.0000 0.0000 (multiplicity 2)
Ho 0.1189 0.6189 0.0000 (multiplicity 4)
Mg 0.0000 0.5000 0.5000 (multiplicity 2)
Mg 0.0701 0.8023 0.5000 (multiplicity 8)


(8)
YSbH: optimized geometry, GGA-PBE.

Distance to the lowest polymorph of the same formula = 0.05 eV per formula unit
DOS at the Fermi energy = 1.343 states/eV per cell

abc: 3.7638 3.7638 4.7026
angles: 90.00 90.00 120.00
Space group P-6m2 (No. 187)
Unique sites:
Y 0.0000 0.0000 0.0000 (multiplicity 1)
Sb 0.6667 0.3333 0.5000 (multiplicity 1)
H 0.3333 0.6667 0.0000 (multiplicity 1)


Record order is preserved below.
Size of the total moment: 0.01; 0.00; 0.00; 0.00; 4.78; 6.28; 0.00; 0.00 μB/cell
Record order is preserved below.
DFT total energy: -5.012; -2.678; -8.606; -4.482; -4.091; -4.820; -3.029; -5.385 eV per atom